[1]
Density functional theory data (PBE) for a relaxed BaPr2Cu crystal.

Unit cell a=3.758 b=3.758 c=9.797 alpha=90.00 beta=90.00 gamma=90.00
Positions (direct):
Ba (0.000, 0.000, 0.000)
Pr (0.500, 0.500, 0.335)
Pr (0.500, 0.500, 0.665)
Cu (0.000, 0.000, 0.500)

## Properties
ΔE to the lowest computed polymorph = 0 meV/atom
Energy relative to the elements = 0.0472 eV per atom

---

[2]
Density functional theory data (PBE) for a relaxed BaPr2CuS4 crystal.

Unit cell a=7.206 b=7.206 c=14.090 alpha=90.00 beta=90.00 gamma=146.99
Positions (direct):
Ba (0.111, 0.889, 0.750)
Ba (0.889, 0.111, 0.250)
Pr (0.370, 0.630, 0.557)
Pr (0.370, 0.630, 0.943)
Pr (0.630, 0.370, 0.057)
Pr (0.630, 0.370, 0.443)
Cu (0.159, 0.841, 0.250)
Cu (0.841, 0.159, 0.750)
S (0.000, 0.000, 0.000)
S (0.000, 0.000, 0.500)
S (0.269, 0.731, 0.121)
S (0.269, 0.731, 0.379)
S (0.432, 0.568, 0.750)
S (0.568, 0.432, 0.250)
S (0.731, 0.269, 0.621)
S (0.731, 0.269, 0.879)

## Properties
Formation energy without anion corrections = -1.74 eV/atom

---

[3]
Density functional theory data (PBE) for a relaxed BaPrCu2S4 crystal.

Unit cell a=6.710 b=6.710 c=8.243 alpha=90.00 beta=90.00 gamma=90.00
Positions (direct):
Ba (0.000, 0.000, 0.000)
Ba (0.500, 0.500, 0.500)
Pr (0.000, 0.000, 0.500)
Pr (0.500, 0.500, 0.000)
Cu (0.000, 0.500, 0.250)
Cu (0.000, 0.500, 0.750)
Cu (0.500, 0.000, 0.250)
Cu (0.500, 0.000, 0.750)
S (0.227, 0.227, 0.279)
S (0.227, 0.773, 0.721)
S (0.273, 0.273, 0.779)
S (0.273, 0.727, 0.221)
S (0.727, 0.273, 0.221)
S (0.727, 0.727, 0.779)
S (0.773, 0.227, 0.721)
S (0.773, 0.773, 0.279)

## Properties
Formation energy without anion corrections = -1.14 eV/atom

---

[4]
Density functional theory data (PBE) for a relaxed Ba2PrCu2S4 crystal.

Unit cell a=7.816 b=7.816 c=7.445 alpha=109.53 beta=109.53 gamma=29.85
Positions (direct):
Ba (0.134, 0.134, 0.069)
Ba (0.866, 0.866, 0.931)
Pr (0.000, 0.000, 0.500)
Cu (0.319, 0.319, 0.506)
Cu (0.681, 0.681, 0.494)
S (0.204, 0.204, 0.684)
S (0.470, 0.470, 0.750)
S (0.530, 0.530, 0.250)
S (0.796, 0.796, 0.316)

## Properties
Formation energy without anion corrections = -1.35 eV/atom

---

[5]
Density functional theory data (PBE) for a relaxed BaPrCu2Sb2 crystal.

Unit cell a=4.506 b=4.506 c=9.170 alpha=90.00 beta=90.00 gamma=120.00
Positions (direct):
Ba (0.000, 0.000, 0.000)
Pr (0.000, 0.000, 0.500)
Cu (0.333, 0.667, 0.705)
Cu (0.667, 0.333, 0.295)
Sb (0.333, 0.667, 0.267)
Sb (0.667, 0.333, 0.733)

## Properties
Formation energy without anion corrections = -0.72 eV/atom

---

[6]
Density functional theory data (PBE) for a relaxed BaPrCu2Si2 crystal.

Unit cell a=4.200 b=4.200 c=9.097 alpha=90.00 beta=90.00 gamma=120.00
Positions (direct):
Ba (0.000, 0.000, 0.000)
Pr (0.000, 0.000, 0.500)
Cu (0.333, 0.667, 0.725)
Cu (0.667, 0.333, 0.275)
Si (0.333, 0.667, 0.275)
Si (0.667, 0.333, 0.725)

## Properties
Formation energy without anion corrections = -0.43 eV/atom

---

[7]
Density functional theory data (PBE) for a relaxed BaPrCu2Te4 crystal.

Unit cell a=7.036 b=8.294 c=8.898 alpha=90.00 beta=90.00 gamma=90.00
Positions (direct):
Ba (0.000, 0.000, 0.000)
Ba (0.500, 0.500, 0.500)
Pr (0.000, 0.000, 0.500)
Pr (0.500, 0.500, 0.000)
Cu (0.000, 0.500, 0.144)
Cu (0.000, 0.500, 0.856)
Cu (0.500, 0.000, 0.356)
Cu (0.500, 0.000, 0.644)
Te (0.249, 0.288, 0.787)
Te (0.249, 0.712, 0.213)
Te (0.251, 0.212, 0.287)
Te (0.251, 0.788, 0.713)
Te (0.749, 0.212, 0.713)
Te (0.749, 0.788, 0.287)
Te (0.751, 0.288, 0.213)
Te (0.751, 0.712, 0.787)

## Properties
Formation energy without anion corrections = -0.73 eV/atom

---

[8]
Density functional theory data (PBE) for a relaxed BaPrZnCu crystal.

Unit cell a=7.678 b=7.678 c=7.678 alpha=90.00 beta=90.00 gamma=90.00
Positions (direct):
Ba (0.000, 0.000, 0.000)
Ba (0.000, 0.500, 0.500)
Ba (0.500, 0.000, 0.500)
Ba (0.500, 0.500, 0.000)
Pr (0.000, 0.000, 0.500)
Pr (0.000, 0.500, 0.000)
Pr (0.500, 0.000, 0.000)
Pr (0.500, 0.500, 0.500)
Zn (0.250, 0.250, 0.250)
Zn (0.250, 0.750, 0.750)
Zn (0.750, 0.250, 0.750)
Zn (0.750, 0.750, 0.250)
Cu (0.250, 0.250, 0.750)
Cu (0.250, 0.750, 0.250)
Cu (0.750, 0.250, 0.250)
Cu (0.750, 0.750, 0.750)

## Properties
Energy relative to the elements = -0.0077 eV per atom

---

[9]
Density functional theory data (PBE) for a relaxed BaCu2Pt crystal.

Unit cell a=4.736 b=4.736 c=17.720 alpha=90.00 beta=90.00 gamma=90.00
Positions (direct):
Ba (0.000, 0.250, 0.375)
Ba (0.000, 0.750, 0.625)
Ba (0.500, 0.250, 0.125)
Ba (0.500, 0.750, 0.875)
Cu (0.000, 0.000, 0.000)
Cu (0.000, 0.500, 0.000)
Cu (0.250, 0.250, 0.750)
Cu (0.250, 0.750, 0.250)
Cu (0.500, 0.000, 0.500)
Cu (0.500, 0.500, 0.500)
Cu (0.750, 0.250, 0.750)
Cu (0.750, 0.750, 0.250)
Pt (0.000, 0.250, 0.875)
Pt (0.000, 0.750, 0.125)
Pt (0.500, 0.250, 0.625)
Pt (0.500, 0.750, 0.375)

## Properties
ΔE to the lowest computed polymorph = 69 meV/atom
Energy relative to the elements = -0.2618 eV per atom

---

[10]
Density functional theory data (PBE) for a relaxed Ba2Cu2Pt crystal.

Unit cell a=6.111 b=6.111 c=7.502 alpha=90.00 beta=90.00 gamma=90.00
Positions (direct):
Ba (0.000, 0.500, 0.250)
Ba (0.000, 0.500, 0.750)
Ba (0.500, 0.000, 0.250)
Ba (0.500, 0.000, 0.750)
Cu (0.000, 0.000, 0.159)
Cu (0.000, 0.000, 0.841)
Cu (0.500, 0.500, 0.341)
Cu (0.500, 0.500, 0.659)
Pt (0.000, 0.000, 0.500)
Pt (0.500, 0.500, 0.000)

## Properties
ΔE to the lowest computed polymorph = 2 meV/atom
Energy relative to the elements = -0.1440 eV per atom

---

[11]
Density functional theory data (PBE) for a relaxed Ba2Cu2Pt crystal.

Unit cell a=3.731 b=3.731 c=18.860 alpha=90.00 beta=90.00 gamma=90.00
Positions (direct):
Ba (0.000, 0.000, 0.103)
Ba (0.000, 0.000, 0.897)
Ba (0.500, 0.500, 0.397)
Ba (0.500, 0.500, 0.603)
Cu (0.000, 0.500, 0.250)
Cu (0.000, 0.500, 0.750)
Cu (0.500, 0.000, 0.250)
Cu (0.500, 0.000, 0.750)
Pt (0.000, 0.000, 0.500)
Pt (0.500, 0.500, 0.000)

## Properties
ΔE to the lowest computed polymorph = 0 meV/atom
Energy relative to the elements = -0.1463 eV per atom

---

[12]
Density functional theory data (PBE) for a relaxed Ba2Cu3Pt crystal.

Unit cell a=8.864 b=8.813 c=6.317 alpha=69.50 beta=68.63 gamma=41.88
Positions (direct):
Ba (0.245, 0.755, 0.245)
Ba (0.250, 0.250, 0.250)
Ba (0.750, 0.750, 0.750)
Ba (0.755, 0.245, 0.755)
Cu (0.172, 0.664, 0.828)
Cu (0.335, 0.335, 0.665)
Cu (0.336, 0.828, 0.664)
Cu (0.664, 0.172, 0.336)
Cu (0.665, 0.665, 0.335)
Cu (0.828, 0.336, 0.172)
Pt (0.166, 0.166, 0.834)
Pt (0.834, 0.834, 0.166)

## Properties
Energy relative to the elements = -0.2515 eV per atom